# PBE-GGA K2LiPtF6, optimized geometry
data_K2LiPtF6
_symmetry_space_group_name_H-M 'P -1'
_symmetry_Int_Tables_number 2
_cell_length_a 5.728
_cell_length_b 5.731
_cell_length_c 8.003
_cell_angle_alpha 89.98
_cell_angle_beta 89.99
_cell_angle_gamma 88.37
loop_
_symmetry_equiv_pos_as_xyz
'x,y,z'
'-x,-y,-z'
loop_
_atom_site_label
_atom_site_fract_x
_atom_site_fract_y
_atom_site_fract_z
K1 0.000 0.000 0.250
K2 0.500 0.500 0.250
Li1 0.000 0.500 0.000
Li2 0.500 0.000 0.500
Pt1 0.000 0.500 0.500
Pt2 0.500 0.000 0.000
F1 0.001 0.501 0.749
F2 0.226 0.735 0.001
F3 0.247 0.247 0.500
F4 0.255 0.255 0.000
F5 0.272 0.767 0.499
F6 0.499 0.999 0.751
# **Energy above the most stable polymorph in this dataset**: 0 meV per atom
# **Crystal system**: triclinic